A plane-wave DFT calculation with PBE was carried out for SmHg2 after structural relaxation.

Crystal system = monoclinic
DFT formation energy = -21.7 kJ per mole of atoms
V = 28.40 Å³ per atom
DFT total energy = -1.9938 eV per atom

Unit cell a=3.8699 b=3.8699 c=7.0350 alpha=106.51 beta=106.51 gamma=58.81
Positions (direct):
Sm  0.0000  0.0000  0.0000
Hg  0.7844  0.7844  0.3372
Hg  0.2156  0.2156  0.6628

A plane-wave DFT calculation with PBE was carried out for Sm3Hg5 after structural relaxation.

Crystal system = orthorhombic
DFT formation energy = -42.9 kJ per mole of atoms
V = 26.13 Å³ per atom
DFT total energy = -2.3976 eV per atom

Unit cell a=6.4898 b=6.4898 c=5.1611 alpha=90.00 beta=90.00 gamma=105.94
Positions (direct):
Sm  0.7102  0.2898  0.5000
Sm  0.2898  0.7102  0.5000
Sm  0.0000  0.0000  0.0000
Hg  0.2145  0.2145  0.5000
Hg  0.7855  0.7855  0.5000
Hg  0.5000  0.0000  0.0000
Hg  0.0000  0.5000  0.0000
Hg  0.5000  0.5000  0.0000

A plane-wave DFT calculation with PBE was carried out for SmHg2 after structural relaxation.

Crystal system = cubic
DFT formation energy = -15.1 kJ per mole of atoms
V = 29.64 Å³ per atom
DFT total energy = -1.9255 eV per atom

Unit cell a=5.0100 b=5.0100 c=5.0100 alpha=60.00 beta=60.00 gamma=60.00
Positions (direct):
Sm  0.0000  0.0000  0.0000
Hg  0.2500  0.2500  0.2500
Hg  0.7500  0.7500  0.7500

A plane-wave DFT calculation with PBE was carried out for SmHg2 after structural relaxation.

Crystal system = hexagonal
DFT formation energy = -40.9 kJ per mole of atoms
V = 24.83 Å³ per atom
DFT total energy = -2.1928 eV per atom

Unit cell a=5.0060 b=5.0060 c=3.4319 alpha=90.00 beta=90.00 gamma=120.00
Positions (direct):
Hg  0.3333  0.6667  0.5000
Hg  0.6667  0.3333  0.5000
Sm  0.0000  0.0000  0.0000

A plane-wave DFT calculation with PBE was carried out for SmHg2 after structural relaxation.

Crystal system = trigonal
DFT formation energy = -40.6 kJ per mole of atoms
V = 24.62 Å³ per atom
DFT total energy = -2.1890 eV per atom

Unit cell a=4.9488 b=4.9488 c=3.4818 alpha=90.00 beta=90.00 gamma=120.00
Positions (direct):
Hg  0.6667  0.3333  0.4907
Hg  0.3333  0.6667  0.5093
Sm  0.0000  0.0000  0.0000

A plane-wave DFT calculation with PBE was carried out for SmSnHg2 after structural relaxation.

Crystal system = tetragonal
V = 25.19 Å³ per atom
DFT total energy = -2.7804 eV per atom

Unit cell a=4.5552 b=4.5552 c=4.8557 alpha=90.00 beta=90.00 gamma=90.00
Positions (direct):
Sn  0.0000  0.0000  0.5000
Hg  0.5000  0.0000  0.0000
Hg  0.0000  0.5000  0.0000
Sm  0.5000  0.5000  0.5000

A plane-wave DFT calculation with PBE was carried out for TbSmHg after structural relaxation.

Crystal system = orthorhombic
DFT formation energy = -33.8 kJ per mole of atoms
V = 28.74 Å³ per atom
Excess energy over the best structure of this formula in the dataset = 0 meV/atom
DFT total energy = -3.5633 eV per atom

Unit cell a=7.2095 b=5.1303 c=9.3239 alpha=90.00 beta=90.00 gamma=90.00
Positions (direct):
Tb  0.8332  0.7500  0.0752
Tb  0.1668  0.2500  0.9248
Tb  0.3332  0.7500  0.4248
Tb  0.6668  0.2500  0.5752
Sm  0.5147  0.2500  0.1919
Sm  0.0147  0.2500  0.3081
Sm  0.4853  0.7500  0.8081
Sm  0.9853  0.7500  0.6919
Hg  0.2430  0.2500  0.6021
Hg  0.2570  0.7500  0.1021
Hg  0.7430  0.2500  0.8979
Hg  0.7570  0.7500  0.3979

A plane-wave DFT calculation with PBE was carried out for TbSmHg after structural relaxation.

Crystal system = cubic
DFT formation energy = -9.8 kJ per mole of atoms
V = 32.17 Å³ per atom
Excess energy over the best structure of this formula in the dataset = 249 meV/atom
DFT total energy = -3.3145 eV per atom

Unit cell a=5.1488 b=5.1488 c=5.1488 alpha=60.00 beta=60.00 gamma=60.00
Positions (direct):
Sm  0.2500  0.2500  0.2500
Hg  0.0000  0.0000  0.0000
Tb  0.7500  0.7500  0.7500